No. 1
A plane-wave DFT calculation with PBE was carried out for an optimized crystal structure of Be3B12Mo.

Values from the calculation:
DFT formation energy (eV/atom): 0.324
Crystal system: trigonal

Lattice parameters (Å, degrees): 10.3161 10.3161 8.2898 90.00 90.00 120.00
Last column: nearest neighbours and their distance in Å.
Space group R3c (No. 161, hexagonal axes)
Inequivalent atoms, fractional coordinates:
1 Be 0.0380 0.3429 0.0000  8 B 1.99-2.21
2 B 0.0063 0.1229 0.3532  3 B 1.74-1.81
3 B 0.0466 0.4895 0.4563  4 B 1.70-1.82
4 B 0.1879 0.4448 0.3916  4 B 1.75-1.82
5 B 0.2053 0.4378 0.1792  3 B 1.70-1.77
6 Mo 0.0000 0.0000 0.1006  12 B 2.18-2.43

---

No. 2
A plane-wave DFT calculation with PBE was carried out for an optimized crystal structure of Be2AlAs2.

Values from the calculation:
DFT formation energy (eV/atom): 0.331
Polymorph energy (0 for the lowest one) (eV/f.u.): 1.19
Crystal system: tetragonal

Lattice parameters (Å, degrees): 7.1101 7.1101 2.9555 90.00 90.00 90.00
Last column: nearest neighbours and their distance in Å.
Space group P4/mbm (No. 127)
Inequivalent atoms, fractional coordinates:
1 Be 0.1189 0.3811 0.0000  1 Be 2.39, 6 As 2.55-2.60
2 Al 0.0000 0.0000 0.5000  4 As 2.64, 2 Al 2.96
3 As 0.1685 0.6685 0.5000  6 Be 2.55-2.60, 2 Al 2.64

---

No. 3
A plane-wave DFT calculation with PBE was carried out for an optimized crystal structure of Cs2NaDyI6.

Values from the calculation:
E_form (uncorrected) (eV per atom): -1.4496
Crystal system: orthorhombic

Lattice parameters (Å, degrees): 8.7598 12.3891 8.7594 90.00 90.00 90.00
Last column: nearest neighbours and their distance in Å.
Space group Pmmn (No. 59, origin choice 2)
Inequivalent atoms, fractional coordinates:
1 Cs 0.2500 0.0000 0.2494  12 I 4.37-4.39
2 Na 0.2500 0.2500 0.7494  6 I 3.17
3 Dy 0.2500 0.7500 0.7506  6 I 3.02
4 I 0.0055 0.7500 0.5069  1 Dy 3.02, 1 Na 3.17
5 I 0.0063 0.7500 0.9951  1 Dy 3.02, 1 Na 3.17
6 I 0.2500 0.5059 0.7503  1 Dy 3.02, 1 Na 3.17

---

No. 4
A plane-wave DFT calculation with PBE was carried out for an optimized crystal structure of Sr2Li5Cu.

Values from the calculation:
DFT formation energy (eV/atom): 0.049
Crystal system: tetragonal

Lattice parameters (Å, degrees): 6.0080 6.0080 12.5982 90.00 90.00 90.00
Last column: nearest neighbours and their distance in Å.
Space group I4mm (No. 107)
Inequivalent atoms, fractional coordinates:
1 Sr 0.0000 0.5000 0.0000  2 Cu 3.21, 2 Li 3.36
2 Li 0.0000 0.0000 0.3799  1 Cu 2.66, 4 Li 2.86
3 Li 0.2381 0.2381 0.7375  1 Cu 2.74, 3 Li 2.86
4 Cu 0.0000 0.0000 0.5907  5 Li 2.66-2.74